[1]
## Nd2Tm2Th15 (PBE)

Data for an optimized crystal structure of Nd2Tm2Th15.

Values from the calculation:
- Energy relative to the elements: 496 kJ/mol of formula units

Cell lengths 8.756, 8.756, 8.756 Å; angles 81.85, 81.85, 81.85 degrees
Fractional positions:
Nd  0.176  0.176  0.176
Nd  0.824  0.824  0.824
Tm  0.401  0.401  0.401
Tm  0.599  0.599  0.599
Th  0.000  0.500  0.500
Th  0.145  0.145  0.659
Th  0.145  0.659  0.145
Th  0.204  0.500  0.796
Th  0.204  0.796  0.500
Th  0.341  0.855  0.855
Th  0.500  0.000  0.500
Th  0.500  0.204  0.796
Th  0.500  0.500  0.000
Th  0.500  0.796  0.204
Th  0.659  0.145  0.145
Th  0.796  0.204  0.500
Th  0.796  0.500  0.204
Th  0.855  0.341  0.855
Th  0.855  0.855  0.341

[2]
## Sr8RhN2 (PBE)

Data for an optimized crystal structure of Sr8RhN2.

Values from the calculation:
- ΔE_f (raw): -0.27 eV/atom

Cell lengths 8.474, 8.474, 7.008 Å; angles 92.15, 92.15, 67.10 degrees
Fractional positions:
Sr  0.085  0.700  0.743
Sr  0.170  0.170  0.782
Sr  0.300  0.915  0.257
Sr  0.353  0.353  0.239
Sr  0.647  0.647  0.761
Sr  0.700  0.085  0.743
Sr  0.830  0.830  0.218
Sr  0.915  0.300  0.257
Rh  0.000  0.000  0.500
N  0.196  0.196  0.121
N  0.804  0.804  0.879

[3]
## La3TlRu (PBE)

Data for an optimized crystal structure of La3TlRu.

Values from the calculation:
- Energy relative to the elements: -182 kJ/mol of formula units
- ΔE to the lowest computed polymorph: 6 kJ/mol of formula units

Cell lengths 8.714, 4.868, 14.399 Å; angles 90.00, 90.00, 90.00 degrees
Fractional positions:
La  0.004  0.250  0.109
La  0.138  0.750  0.492
La  0.174  0.250  0.708
La  0.326  0.750  0.208
La  0.362  0.250  0.992
La  0.496  0.750  0.609
La  0.504  0.250  0.391
La  0.638  0.750  0.008
La  0.674  0.250  0.792
La  0.826  0.750  0.292
La  0.862  0.250  0.508
La  0.996  0.750  0.891
Tl  0.124  0.250  0.331
Tl  0.376  0.750  0.831
Tl  0.624  0.250  0.169
Tl  0.876  0.750  0.669
Ru  0.206  0.750  0.045
Ru  0.294  0.250  0.545
Ru  0.706  0.750  0.455
Ru  0.794  0.250  0.955

| no. | DFT total energy (eV for the cell shown) |
| --- | --- |
| 1 | -124.64 |
| 2 | -40.38 |
| 3 | -113.22 |